The following is a PBE calculation of LaGeF3 after structural relaxation, from Alexandria via LeMat-Bulk.

Calculated values
As for the raw formation energy: -12.79 eV per formula unit. The final energy comes out at -5.59 eV per atom. The value obtained for the offset from the most stable computed form is 0 meV/atom.

Lattice parameters (Å, degrees): 4.7447 4.7447 4.7447 90.00 90.00 90.00
With the nearest neighbours (Å) after each atom.
Space group Pm-3m (No. 221)
One atom of each set of equivalent atoms:
1 La 0.0000 0.0000 0.0000 [1 per cell]  6 F 2.37
2 Ge 0.5000 0.5000 0.5000 [1 per cell]  12 F 3.35
3 F 0.0000 0.0000 0.5000 [3 per cell]  2 La 2.37

=====

The following is a PBE calculation of Ac3HgSe6 after structural relaxation, from Alexandria via LeMat-Bulk.

Calculated values
As for the raw formation energy: -14.89 eV per formula unit. The final energy comes out at -4.84 eV per atom.

Lattice parameters (Å, degrees): 12.3583 15.4599 6.9875 90.00 90.00 90.00
With the nearest neighbours (Å) after each atom.
Space group Cmc2_1 (No. 36)
One atom of each set of equivalent atoms:
1 Ac 0.0000 0.1130 0.0000 [4 per cell]  7 Se 3.14-3.18
2 Ac 0.1813 0.3933 0.0701 [8 per cell]  7 Se 3.09-3.37
3 Hg 0.0000 0.3049 0.6261 [4 per cell]  4 Se 2.63-2.80
4 Se 0.0000 0.2807 0.2530 [4 per cell]  1 Hg 2.63
5 Se 0.0000 0.4731 0.7757 [4 per cell]  1 Hg 2.80
6 Se 0.1593 0.0164 0.2855 [8 per cell]  4 Ac 3.13-3.18
7 Se 0.1732 0.2339 0.8043 [8 per cell]  1 Hg 2.71

=====

The following is a PBE calculation of NbBi2PdI after structural relaxation, from Alexandria via LeMat-Bulk.

Calculated values
As for the raw formation energy: 4.37 eV per formula unit. The final energy comes out at -4.04 eV per atom.

Lattice parameters (Å, degrees): 5.3365 5.3365 5.3837 90.00 90.00 90.00
With the nearest neighbours (Å) after each atom.
Space group P4/mmm (No. 123)
One atom of each set of equivalent atoms:
1 Nb 0.0000 0.0000 0.0000 [1 per cell]  4 I 3.77, 8 Bi 3.79
2 Bi 0.0000 0.5000 0.5000 [2 per cell]  2 Pd 2.67
3 Pd 0.5000 0.5000 0.5000 [1 per cell]  4 Bi 2.67, 2 I 2.69
4 I 0.5000 0.5000 0.0000 [1 per cell]  2 Pd 2.69

=====

The following is a PBE calculation of Rb2PbCl6F after structural relaxation, from Alexandria via LeMat-Bulk.

Calculated values
As for the raw formation energy: -11.12 eV per formula unit. The final energy comes out at -2.97 eV per atom.

Lattice parameters (Å, degrees): 8.0895 8.0895 9.0939 90.00 90.00 90.00
With the nearest neighbours (Å) after each atom.
Space group I4/mmm (No. 139)
One atom of each set of equivalent atoms:
1 Rb 0.0000 0.5000 0.2500 [4 per cell]  12 Cl 3.66-4.05
2 Pb 0.0000 0.0000 0.0000 [2 per cell]  6 Cl 2.48-2.62
3 Cl 0.0000 0.0000 0.2723 [4 per cell]  1 F 2.07
4 Cl 0.2287 0.2287 0.0000 [8 per cell]  1 Pb 2.62
5 F 0.0000 0.0000 0.5000 [2 per cell]  2 Cl 2.07

=====

- The lowest raw formation energy belongs to which entry?
  Ac3HgSe6

=====

- Which of these has the highest raw formation energy?
  NbBi2PdI

=====

- Which value of final energy does entry 1 give?
  -5.59 eV per atom